# Cu2WO

Crystalline Cu2WO at its relaxed geometry (GGA+U, Alexandria via LeMat-Bulk).

Summary:
Total magnetization = 5.02 μB per cell
Space-group type = I-42d (122)
Uncorrected energy = -4.915 eV/atom

a = 5.409 Å, b = 5.409 Å, c = 5.409 Å
α = 99.33°, β = 99.33°, γ = 132.52°
Fractional positions:
Cu 0.061 0.125 0.436
Cu 0.375 0.939 0.064
Cu 0.689 0.625 0.564
Cu 0.875 0.311 0.936
W 0.250 0.750 0.500
W 0.500 0.500 0.000
O 0.000 0.000 0.000
O 0.750 0.250 0.500